A) # TlReAs2

A relaxed structure of TlReAs2 (PBE-GGA, Alexandria).

Cell: 4.4732 3.7806 5.3155 Å, 74.25 90.00 90.00°
With the nearest neighbours (Å) after each atom.
Sites, in units of the cell vectors:
Re 0.5000 0.2500 0.2500  4 As 2.57, 2 Tl 2.81
Tl 0.5000 0.7500 0.7500  2 Re 2.81
As 0.0000 0.0677 0.0816  2 As 2.54-2.58, 2 Re 2.57
As 0.0000 0.4323 0.4184  2 As 2.54-2.58, 2 Re 2.57

The calculation puts the magnetization at 0.0 μB/f.u. Its space group is P2/m (10). The calculation puts the density of states at the Fermi level at 3.706 states/eV per cell.

B) # TlReAs2

A relaxed structure of TlReAs2 (PBE-GGA, Alexandria).

Cell: 3.0980 3.0977 8.8285 Å, 90.00 90.00 90.00°
With the nearest neighbours (Å) after each atom.
Sites, in units of the cell vectors:
Re 0.5000 0.5000 0.2500  8 As 2.66
Tl 0.5000 0.5000 0.7500  4 Tl 3.10
As 0.0000 0.0000 0.0797  4 Re 2.66
As 0.0000 0.0000 0.4203  4 Re 2.66

The calculation puts the magnetization at 0.0 μB/f.u. Its space group is P4/mmm (123). The calculation puts the density of states at the Fermi level at 2.206 states/eV per cell.

Last place for stability: A)

A) # TlReAs2

A relaxed structure of TlReAs2 (PBE-GGA, Alexandria).

Cell: 4.8625 4.0123 4.0123 Å, 90.00 90.00 90.00°
With the nearest neighbours (Å) after each atom.
Sites, in units of the cell vectors:
Re 0.5000 0.5000 0.0000  4 Tl 2.84, 8 As 3.15
Tl 0.5000 0.0000 0.5000  4 Re 2.84, 8 As 3.15
As 0.0000 0.0000 0.0000  4 As 2.84, 4 Re 3.15, 4 Tl 3.15
As 0.0000 0.5000 0.5000  4 As 2.84, 4 Tl 3.15, 4 Re 3.15

The calculation puts the magnetization at 1.4 μB/f.u. Its space group is P4/mmm (123). The calculation puts the density of states at the Fermi level at 3.727 states/eV per cell.

B) # TlReAs2

A relaxed structure of TlReAs2 (PBE-GGA, Alexandria).

Cell: 3.2145 3.2145 9.7186 Å, 88.78 88.78 59.99°
With the nearest neighbours (Å) after each atom.
Sites, in units of the cell vectors:
Re 0.7500 0.7500 0.7500  6 As 2.55
Tl 0.2500 0.2500 0.2500  6 Tl 3.21, 2 As 3.28
As 0.0752 0.0752 0.9305  3 Re 2.55
As 0.4248 0.4248 0.5695  3 Re 2.55

The calculation puts the magnetization at 0.0 μB/f.u. Its space group is C2/m (12). The calculation puts the density of states at the Fermi level at 2.104 states/eV per cell.

C) # TlReAs2

A relaxed structure of TlReAs2 (PBE-GGA, Alexandria).

Cell: 4.7972 4.7972 3.2949 Å, 90.00 90.00 90.00°
With the nearest neighbours (Å) after each atom.
Sites, in units of the cell vectors:
Re 0.5000 0.0000 0.5000  8 As 2.91
Tl 0.0000 0.5000 0.5000  8 As 2.91
As 0.0000 0.0000 0.0000  4 Re 2.91, 4 Tl 2.91
As 0.5000 0.5000 0.0000  4 Tl 2.91, 4 Re 2.91

The calculation puts the magnetization at 0.8 μB/f.u. Its space group is P4/mmm (123). The calculation puts the density of states at the Fermi level at 3.835 states/eV per cell.

Last place for stability: A)

A) # TlReAs2

A relaxed structure of TlReAs2 (PBE-GGA, Alexandria).

Cell: 5.2035 5.2035 5.2035 Å, 132.37 132.37 69.65°
With the nearest neighbours (Å) after each atom.
Sites, in units of the cell vectors:
Re 0.5000 0.5000 0.0000  8 As 2.97-3.00, 4 Tl 3.00
Tl 0.7500 0.2500 0.5000  8 As 2.97-3.00, 4 Re 3.00
As 0.0000 0.0000 0.0000  4 Re 2.97, 4 Tl 3.00, 4 As 3.00
As 0.2500 0.7500 0.5000  4 Tl 2.97, 4 As 3.00, 4 Re 3.00

The calculation puts the magnetization at 0.1 μB/f.u. Its space group is I-4m2 (119). The calculation puts the density of states at the Fermi level at 4.637 states/eV per cell.

B) # TlReAs2

A relaxed structure of TlReAs2 (PBE-GGA, Alexandria).

Cell: 9.6169 9.3972 9.3632 Å, 161.10 161.39 26.50°
With the nearest neighbours (Å) after each atom.
Sites, in units of the cell vectors:
Re 0.7778 0.5553 0.2080  8 As 2.64-2.66
Tl 0.1621 0.8327 0.3723  4 Tl 3.08, 1 As 3.13
As 0.2392 0.9792 0.2563  4 Re 2.64-2.65
As 0.3209 0.1328 0.1634  4 Re 2.65-2.66

The calculation puts the magnetization at 0.0 μB/f.u. Its space group is P1 (1). The calculation puts the density of states at the Fermi level at 1.677 states/eV per cell.

Last place for stability: A)

A) # TlReAs2

A relaxed structure of TlReAs2 (PBE-GGA, Alexandria).

Cell: 4.7205 4.7205 4.7205 Å, 60.00 60.00 60.00°
With the nearest neighbours (Å) after each atom.
Sites, in units of the cell vectors:
Re 0.0000 0.0000 0.0000  8 As 2.89
Tl 0.5000 0.5000 0.5000  8 As 2.89
As 0.2500 0.2500 0.2500  4 Tl 2.89, 4 Re 2.89
As 0.7500 0.7500 0.7500  4 Tl 2.89, 4 Re 2.89

The calculation puts the magnetization at 0.0 μB/f.u. Its space group is Fm-3m (225). The calculation puts the density of states at the Fermi level at 4.264 states/eV per cell.

B) # TlReAs2

A relaxed structure of TlReAs2 (PBE-GGA, Alexandria).

Cell: 4.8546 4.8546 3.3882 Å, 90.00 90.00 108.23°
With the nearest neighbours (Å) after each atom.
Sites, in units of the cell vectors:
Re 0.5000 0.0000 0.5000  2 Tl 2.85, 8 As 2.96
Tl 0.0000 0.5000 0.5000  2 Re 2.85, 8 As 2.96
As 0.0000 0.0000 0.0000  2 As 2.85, 4 Re 2.96, 4 Tl 2.96
As 0.5000 0.5000 0.0000  2 As 2.85, 4 Tl 2.96, 4 Re 2.96

The calculation puts the magnetization at 0.4 μB/f.u. Its space group is Cmmm (65). The calculation puts the density of states at the Fermi level at 4.209 states/eV per cell.

C) # TlReAs2

A relaxed structure of TlReAs2 (PBE-GGA, Alexandria).

Cell: 6.3068 6.3068 7.3951 Å, 64.76 64.76 90.00°
With the nearest neighbours (Å) after each atom.
Sites, in units of the cell vectors:
Re 0.5000 0.5000 0.0000  4 As 2.36
Re 0.2500 0.7500 0.5000  4 As 2.36
Tl 0.0000 0.0000 0.0000  4 As 3.08
Tl 0.7500 0.2500 0.5000  4 As 3.08
As 0.5260 0.1250 0.2500  2 Re 2.36
As 0.2240 0.6250 0.2500  2 Re 2.36
As 0.3750 0.4740 0.7500  2 Re 2.36
As 0.8750 0.7760 0.7500  2 Re 2.36

The calculation puts the magnetization at 0.0 μB/f.u. Its space group is I-42d (122). The calculation puts the density of states at the Fermi level at 2.588 states/eV per cell.

Last place for stability: B)

A) # TlReAs2

A relaxed structure of TlReAs2 (PBE-GGA, Alexandria).

Cell: 9.6935 9.6935 9.6935 Å, 19.13 19.13 19.13°
With the nearest neighbours (Å) after each atom.
Sites, in units of the cell vectors:
Re 0.2500 0.2500 0.2500  6 As 2.56
Tl 0.7500 0.7500 0.7500  6 Tl 3.22, 6 As 3.53
As 0.9781 0.9781 0.9781  3 Re 2.56
As 0.5219 0.5219 0.5219  3 Re 2.56

The calculation puts the magnetization at 0.0 μB/f.u. Its space group is R-3m (166). The calculation puts the density of states at the Fermi level at 1.383 states/eV per cell.

B) # TlReAs2

A relaxed structure of TlReAs2 (PBE-GGA, Alexandria).

Cell: 6.1961 6.1961 6.1961 Å, 152.07 121.09 66.43°
With the nearest neighbours (Å) after each atom.
Sites, in units of the cell vectors:
Re 0.7500 0.2500 0.5000  4 As 2.47
Tl 0.2500 0.7500 0.5000  2 Tl 2.99
As 0.9402 0.9402 0.0000  2 Re 2.47
As 0.5598 0.5598 0.0000  2 Re 2.47

The calculation puts the magnetization at 0.0 μB/f.u. Its space group is Immm (71). The calculation puts the density of states at the Fermi level at 2.623 states/eV per cell.

Last place for stability: B)

A) # TlReAs2

A relaxed structure of TlReAs2 (PBE-GGA, Alexandria).

Cell: 3.0697 3.0697 10.1719 Å, 90.00 90.00 118.47°
With the nearest neighbours (Å) after each atom.
Sites, in units of the cell vectors:
Re 0.5000 0.5000 0.2500  4 As 2.53
Tl 0.5000 0.5000 0.7500  6 Tl 3.07-3.14
As 0.0000 0.0000 0.0549  2 Re 2.53
As 0.0000 0.0000 0.4451  2 Re 2.53

The calculation puts the magnetization at 0.0 μB/f.u. Its space group is Cmmm (65). The calculation puts the density of states at the Fermi level at 2.763 states/eV per cell.

B) # TlReAs2

A relaxed structure of TlReAs2 (PBE-GGA, Alexandria).

Cell: 3.0093 3.0093 9.9907 Å, 90.00 90.00 114.86°
With the nearest neighbours (Å) after each atom.
Sites, in units of the cell vectors:
Re 0.0000 0.0000 0.4736  2 As 2.44
Tl 0.5000 0.5000 0.7324  6 Tl 3.01-3.24, 2 Re 3.05, 2 As 3.15
As 0.0000 0.0000 0.0026  8 As 3.01-3.31, 2 Tl 3.15
As 0.5000 0.5000 0.2914  2 Re 2.44

The calculation puts the magnetization at 0.0 μB/f.u. Its space group is Cmm2 (35). The calculation puts the density of states at the Fermi level at 2.724 states/eV per cell.

C) # TlReAs2

A relaxed structure of TlReAs2 (PBE-GGA, Alexandria).

Cell: 4.6255 4.6255 6.7787 Å, 74.90 74.90 40.54°
With the nearest neighbours (Å) after each atom.
Sites, in units of the cell vectors:
Re 0.5322 0.5322 0.6657  5 As 2.47-2.48
Tl 0.1635 0.1635 0.2547  1 As 2.92, 2 Re 3.14, 2 Tl 3.21
As 0.9791 0.9791 0.9545  2 Re 2.47
As 0.8251 0.8251 0.6249  3 Re 2.48

The calculation puts the magnetization at 0.0 μB/f.u. Its space group is Cm (8). The calculation puts the density of states at the Fermi level at 0.990 states/eV per cell.

D) # TlReAs2

A relaxed structure of TlReAs2 (PBE-GGA, Alexandria).

Cell: 3.2791 3.2791 7.7833 Å, 90.00 90.00 90.00°
With the nearest neighbours (Å) after each atom.
Sites, in units of the cell vectors:
Re 0.0000 0.0000 0.4165  5 As 2.52-2.64
Tl 0.5000 0.5000 0.7173  4 Tl 3.28, 4 Re 3.30, 5 As 3.34-3.64
As 0.0000 0.0000 0.0775  1 Re 2.64, 4 As 2.84
As 0.5000 0.5000 0.2887  4 Re 2.52

The calculation puts the magnetization at 0.0 μB/f.u. Its space group is P4mm (99). The calculation puts the density of states at the Fermi level at 1.320 states/eV per cell.

Last place for stability: B)